(1)
# Ti3Tc

A geometry-optimized Ti3Tc structure (GGA-PBE, the Alexandria database).

Unit cell a=3.1147 b=3.1147 c=6.6586 alpha=90.00 beta=90.00 gamma=90.00
With the nearest neighbours (Å) after each atom.
Fractional coordinates of all 4 atoms:
Ti 0.0000 0.0000 0.0000  12 Ti 2.87-3.11
Ti 0.5000 0.5000 0.2769  4 Tc 2.66, 5 Ti 2.87-2.97
Ti 0.5000 0.5000 0.7231  4 Tc 2.66, 5 Ti 2.87-2.97
Tc 0.0000 0.0000 0.5000  8 Ti 2.66

- energy relative to the elements (meV per atom) = -248

---

(2)
# TiRe2O

A geometry-optimized TiRe2O structure (GGA-PBE, the Alexandria database).

Unit cell a=5.4436 b=5.4436 c=5.4436 alpha=99.41 beta=99.41 gamma=132.30
With the nearest neighbours (Å) after each atom.
Fractional coordinates of all 8 atoms:
Ti 0.0000 0.0000 0.0000  2 O 2.20
Ti 0.7500 0.2500 0.5000  2 O 2.20
Re 0.2224 0.6250 0.0974  2 O 2.13
Re 0.3750 0.4724 0.5974  2 O 2.13
Re 0.5276 0.1250 0.9026  2 O 2.13
Re 0.8750 0.7776 0.4026  2 O 2.13
O 0.2500 0.7500 0.5000  4 Re 2.13, 2 Ti 2.20
O 0.5000 0.5000 0.0000  4 Re 2.13, 2 Ti 2.20

- energy (eV/cell) = -76.412

---

(3)
# NdEr2Zn

A geometry-optimized NdEr2Zn structure (GGA-PBE, the Alexandria database).

Unit cell a=10.4881 b=10.4881 c=10.4881 alpha=19.72 beta=19.72 gamma=19.72
With the nearest neighbours (Å) after each atom.
Fractional coordinates of all 4 atoms:
Nd 0.0000 0.0000 0.0000  6 Nd 3.59, 6 Er 3.61-3.64
Er 0.5696 0.5696 0.5696  3 Zn 3.01
Er 0.7627 0.7627 0.7627  3 Zn 2.99
Zn 0.1657 0.1657 0.1657  6 Er 2.99-3.01

- energy relative to the elements (meV per atom) = -55
- relative energy among the computed polymorphs (meV per atom) = 111.5

---

(4)
# Ac3Sc

A geometry-optimized Ac3Sc structure (GGA-PBE, the Alexandria database).

Unit cell a=5.3954 b=5.3954 c=5.3954 alpha=90.00 beta=90.00 gamma=90.00
With the nearest neighbours (Å) after each atom.
Fractional coordinates of all 4 atoms:
Ac 0.0000 0.0000 0.5000  8 Ac 3.82, 4 Sc 3.82
Ac 0.0000 0.5000 0.0000  8 Ac 3.82, 4 Sc 3.82
Ac 0.5000 0.0000 0.0000  8 Ac 3.82, 4 Sc 3.82
Sc 0.5000 0.5000 0.5000  12 Ac 3.82

- energy relative to the elements (meV per atom) = 95
- relative energy among the computed polymorphs (meV per atom) = 0.0

---

Please write out number 4 again, unchanged.
# Ac3Sc

A geometry-optimized Ac3Sc structure (GGA-PBE, the Alexandria database).

Unit cell a=5.3954 b=5.3954 c=5.3954 alpha=90.00 beta=90.00 gamma=90.00
With the nearest neighbours (Å) after each atom.
Fractional coordinates of all 4 atoms:
Ac 0.0000 0.0000 0.5000  8 Ac 3.82, 4 Sc 3.82
Ac 0.0000 0.5000 0.0000  8 Ac 3.82, 4 Sc 3.82
Ac 0.5000 0.0000 0.0000  8 Ac 3.82, 4 Sc 3.82
Sc 0.5000 0.5000 0.5000  12 Ac 3.82

- energy relative to the elements (meV per atom) = 95
- relative energy among the computed polymorphs (meV per atom) = 0.0

---

> Which formula does entry 1 have?

Ti3Tc